No. 1
# Tb6Pm2Y3Er PBE-GGA relaxed
# Formation enthalpy at 0 K   16 meV/atom
data_Tb6Pm2Y3Er
_symmetry_space_group_name_H-M 'C 1 2/m 1'
_symmetry_Int_Tables_number 12
_symmetry_space_group_name_Hall '-C 2y'
_cell_length_a 6.192
_cell_length_b 10.716
_cell_length_c 11.850
_cell_angle_alpha 90.00
_cell_angle_beta 99.97
_cell_angle_gamma 90.00
loop_
_atom_site_label
_atom_site_type_symbol
_atom_site_fract_x
_atom_site_fract_y
_atom_site_fract_z
Tb1 Tb 0.248 0.000 0.249
Tb2 Tb 0.250 0.166 0.751
Pm1 Pm 0.000 0.333 0.500
Y1 Y 0.000 0.166 0.000
Y2 Y 0.000 0.500 0.000
Er1 Er 0.000 0.000 0.500



No. 2
# Tb6Pm3YEr2 PBE-GGA relaxed
# Formation enthalpy at 0 K   17 meV/atom
data_Tb6Pm3YEr2
_symmetry_space_group_name_H-M 'C 1 2/m 1'
_symmetry_Int_Tables_number 12
_symmetry_space_group_name_Hall '-C 2y'
_cell_length_a 6.197
_cell_length_b 10.728
_cell_length_c 11.848
_cell_angle_alpha 90.00
_cell_angle_beta 100.00
_cell_angle_gamma 90.00
loop_
_atom_site_label
_atom_site_type_symbol
_atom_site_fract_x
_atom_site_fract_y
_atom_site_fract_z
Tb1 Tb 0.248 0.000 0.247
Tb2 Tb 0.250 0.167 0.753
Pm1 Pm 0.000 0.000 0.500
Pm2 Pm 0.000 0.333 0.500
Y1 Y 0.000 0.500 0.000
Er1 Er 0.000 0.167 0.000



No. 3
# Tb2PmY4Er2 PBE-GGA relaxed
# Formation enthalpy at 0 K   1 meV/atom
data_Tb2PmY4Er2
_symmetry_space_group_name_H-M 'C 1 2/m 1'
_symmetry_Int_Tables_number 12
_symmetry_space_group_name_Hall '-C 2y'
_cell_length_a 18.672
_cell_length_b 3.596
_cell_length_c 9.552
_cell_angle_alpha 90.00
_cell_angle_beta 115.75
_cell_angle_gamma 90.00
loop_
_atom_site_label
_atom_site_type_symbol
_atom_site_fract_x
_atom_site_fract_y
_atom_site_fract_z
Tb1 Tb 0.149 0.000 0.168
Pm1 Pm 0.000 0.000 0.500
Y1 Y 0.019 0.500 0.835
Y2 Y 0.186 0.000 0.834
Er1 Er 0.168 0.500 0.500



No. 4
# TbPm3Y2Er6 PBE-GGA relaxed
# Formation enthalpy at 0 K   20 meV/atom
data_TbPm3Y2Er6
_symmetry_space_group_name_H-M 'C 1 2/m 1'
_symmetry_Int_Tables_number 12
_symmetry_space_group_name_Hall '-C 2y'
_cell_length_a 6.170
_cell_length_b 10.681
_cell_length_c 11.755
_cell_angle_alpha 90.00
_cell_angle_beta 100.04
_cell_angle_gamma 90.00
loop_
_atom_site_label
_atom_site_type_symbol
_atom_site_fract_x
_atom_site_fract_y
_atom_site_fract_z
Tb1 Tb 0.000 0.000 0.000
Pm1 Pm 0.000 0.167 0.500
Pm2 Pm 0.000 0.500 0.500
Y1 Y 0.000 0.333 0.000
Er1 Er 0.249 0.166 0.248
Er2 Er 0.250 0.000 0.752



No. 5
# Tb3PmY2Er6 PBE-GGA relaxed
# Formation enthalpy at 0 K   20 meV/atom
data_Tb3PmY2Er6
_symmetry_space_group_name_H-M 'C 1 2/m 1'
_symmetry_Int_Tables_number 12
_symmetry_space_group_name_Hall '-C 2y'
_cell_length_a 6.139
_cell_length_b 10.623
_cell_length_c 11.732
_cell_angle_alpha 90.00
_cell_angle_beta 100.00
_cell_angle_gamma 90.00
loop_
_atom_site_label
_atom_site_type_symbol
_atom_site_fract_x
_atom_site_fract_y
_atom_site_fract_z
Tb1 Tb 0.000 0.000 0.000
Tb2 Tb 0.000 0.333 0.000
Pm1 Pm 0.000 0.500 0.500
Y1 Y 0.000 0.167 0.500
Er1 Er 0.249 0.167 0.249
Er2 Er 0.249 0.500 0.249



No. 6
# TbPm2Y5Er PBE-GGA relaxed
# Formation enthalpy at 0 K   262 meV/atom
data_TbPm2Y5Er
_symmetry_space_group_name_H-M 'I 4/m c m'
_symmetry_Int_Tables_number 140
_symmetry_space_group_name_Hall '-I 4 2c'
_cell_length_a 8.676
_cell_length_b 8.676
_cell_length_c 15.631
_cell_angle_alpha 90.00
_cell_angle_beta 90.00
_cell_angle_gamma 90.00
loop_
_atom_site_label
_atom_site_type_symbol
_atom_site_fract_x
_atom_site_fract_y
_atom_site_fract_z
Tb1 Tb 0.000 0.000 0.250
Pm1 Pm 0.117 0.383 0.000
Y1 Y 0.000 0.000 0.000
Y2 Y 0.210 0.290 0.361
Er1 Er 0.000 0.500 0.250



No. 7
# Tb2PmY6Er2 PBE-GGA relaxed
# Formation enthalpy at 0 K   154 meV/atom
data_Tb2PmY6Er2
_symmetry_space_group_name_H-M 'C 1 2/m 1'
_symmetry_Int_Tables_number 12
_symmetry_space_group_name_Hall '-C 2y'
_cell_length_a 5.688
_cell_length_b 12.013
_cell_length_c 10.567
_cell_angle_alpha 90.00
_cell_angle_beta 90.05
_cell_angle_gamma 90.00
loop_
_atom_site_label
_atom_site_type_symbol
_atom_site_fract_x
_atom_site_fract_y
_atom_site_fract_z
Tb1 Tb 0.000 0.135 0.000
Pm1 Pm 0.000 0.500 0.500
Y1 Y 0.001 0.000 0.290
Y2 Y 0.001 0.346 0.207
Er1 Er 0.000 0.204 0.500



No. 8
# TbPm3Y6Er2 PBE-GGA relaxed
# Formation enthalpy at 0 K   19 meV/atom
data_TbPm3Y6Er2
_symmetry_space_group_name_H-M 'C 1 2/m 1'
_symmetry_Int_Tables_number 12
_symmetry_space_group_name_Hall '-C 2y'
_cell_length_a 6.207
_cell_length_b 10.741
_cell_length_c 11.837
_cell_angle_alpha 90.00
_cell_angle_beta 100.02
_cell_angle_gamma 90.00
loop_
_atom_site_label
_atom_site_type_symbol
_atom_site_fract_x
_atom_site_fract_y
_atom_site_fract_z
Tb1 Tb 0.000 0.000 0.000
Pm1 Pm 0.000 0.167 0.500
Pm2 Pm 0.000 0.500 0.500
Y1 Y 0.249 0.167 0.247
Y2 Y 0.249 0.500 0.247
Er1 Er 0.000 0.333 0.000